(1)
The following is a DFT calculation (PBE) of VTc3Pb after structural relaxation.

As for the volume: 19.0 Å³/atom. For the total energy, the calculation gives -7.667 eV per atom. The formation energy is 1.1181 eV/atom.

The space group is Pm-3m (No. 221) and the conventional cell measures 4.562, 4.562 and 4.562 Å, with angles of 90.00, 90.00 and 90.00 degrees. Symmetry generates all atoms from V at (0.000, 0.000, 0.000), Tc at (0.000, 0.000, 0.500) and Pb at (0.500, 0.500, 0.500).


(2)
The following is a DFT calculation (PBE) of VTcPb2 after structural relaxation.

As for the volume: 22.4 Å³/atom. For the total energy, the calculation gives -5.718 eV per atom. The formation energy is 1.0071 eV/atom.

The space group is I-42d (No. 122) and the conventional cell measures 7.625, 7.625 and 6.159 Å, with angles of 90.00, 90.00 and 90.00 degrees. Symmetry generates all atoms from V at (0.000, 0.000, 0.000), Tc at (0.000, 0.000, 0.500) and Pb at (0.247, 0.750, 0.625).


(3)
The following is a DFT calculation (PBE) of VTcPb2 after structural relaxation.

As for the volume: 19.6 Å³/atom. For the total energy, the calculation gives -6.107 eV per atom. The formation energy is 0.6187 eV/atom.

The space group is Fm-3m (No. 225) and the conventional cell measures 6.791, 6.791 and 6.791 Å, with angles of 90.00, 90.00 and 90.00 degrees. Symmetry generates all atoms from V at (0.000, 0.000, 0.000), Tc at (0.000, 0.000, 0.500) and Pb at (0.250, 0.250, 0.250).


(4)
The following is a DFT calculation (PBE) of ZrVTc2Pb after structural relaxation.

As for the volume: 20.4 Å³/atom. For the total energy, the calculation gives -7.632 eV per atom. The formation energy is 0.7897 eV/atom.

The space group is P4/mmm (No. 123) and the conventional cell measures 4.530, 4.530 and 4.976 Å, with angles of 90.00, 90.00 and 90.00 degrees. Symmetry generates all atoms from Zr at (0.000, 0.000, 0.000), V at (0.000, 0.000, 0.500), Tc at (0.000, 0.500, 0.500) and Pb at (0.500, 0.500, 0.000).


(5)
The following is a DFT calculation (PBE) of TcPbW3 after structural relaxation.

As for the volume: 21.9 Å³/atom. For the total energy, the calculation gives -8.735 eV per atom. The formation energy is 1.8521 eV/atom.

The space group is Pm-3m (No. 221) and the conventional cell measures 4.783, 4.783 and 4.783 Å, with angles of 90.00, 90.00 and 90.00 degrees. Symmetry generates all atoms from Tc at (0.000, 0.000, 0.000), Pb at (0.500, 0.500, 0.500) and W at (0.000, 0.000, 0.500).


(6)
The following is a DFT calculation (PBE) of TcPb2W after structural relaxation.

As for the volume: 19.9 Å³/atom. For the total energy, the calculation gives -6.634 eV per atom. The formation energy is 1.0502 eV/atom.

The space group is R-3m (No. 166, hexagonal axes) and the conventional cell measures 3.1973, 3.1973 and 26.9203 Å, with angles of 90.00, 90.00 and 120.00 degrees. Symmetry generates all atoms from Tc at (0.0000, 0.0000, 0.0000), Pb at (0.0000, 0.0000, 0.2528) and W at (0.0000, 0.0000, 0.5000).


(7)
The following is a DFT calculation (PBE) of TcPb2W after structural relaxation.

As for the volume: 19.9 Å³/atom. For the total energy, the calculation gives -6.640 eV per atom. The formation energy is 1.0438 eV/atom.

The space group is C2/m (No. 12) and the conventional cell measures 9.185, 3.194 and 5.532 Å, with angles of 90.00, 101.85 and 90.00 degrees. Symmetry generates all atoms from Tc at (0.000, 0.000, 0.000), Pb at (0.247, 0.500, 0.245) and W at (0.000, 0.500, 0.500).


(8)
The following is a DFT calculation (PBE) of TcPb2W after structural relaxation.

As for the volume: 24.6 Å³/atom. For the total energy, the calculation gives -7.054 eV per atom. The formation energy is 0.6295 eV/atom.

The space group is Cm (No. 8) and the conventional cell measures 8.319, 3.231 and 7.456 Å, with angles of 90.00, 100.38 and 90.00 degrees. Symmetry generates all atoms from Tc at (0.000, 0.000, 0.000), Pb at (0.016, 0.500, 0.642), Pb at (0.260, 0.500, 0.255) and W at (0.278, 0.000, 0.894).


(9)
The following is a DFT calculation (PBE) of TcPb2W after structural relaxation.

As for the volume: 21.1 Å³/atom. For the total energy, the calculation gives -6.983 eV per atom. The formation energy is 0.7013 eV/atom.

The space group is Amm2 (No. 38) and the conventional cell measures 4.447, 3.579 and 10.604 Å, with angles of 90.00, 90.00 and 90.00 degrees. Symmetry generates all atoms from Tc at (0.000, 0.000, 0.000), Pb at (0.000, 0.000, 0.719), Pb at (0.500, 0.000, 0.401) and W at (0.500, 0.000, 0.120).


(10)
The following is a DFT calculation (PBE) of TcPb2W after structural relaxation.

As for the volume: 20.3 Å³/atom. For the total energy, the calculation gives -6.587 eV per atom. The formation energy is 1.0971 eV/atom.

The space group is Cmmm (No. 65) and the conventional cell measures 3.302, 5.358 and 9.179 Å, with angles of 90.00, 90.00 and 90.00 degrees. Symmetry generates all atoms from Tc at (0.000, 0.000, 0.000), Pb at (0.000, 0.500, 0.242) and W at (0.000, 0.000, 0.500).


(11)
The following is a DFT calculation (PBE) of Tc3PbW after structural relaxation.

As for the volume: 22.1 Å³/atom. For the total energy, the calculation gives -6.615 eV per atom. The formation energy is 2.9372 eV/atom.

The space group is Pm-3m (No. 221) and the conventional cell measures 4.799, 4.799 and 4.799 Å, with angles of 90.00, 90.00 and 90.00 degrees. Symmetry generates all atoms from Tc at (0.000, 0.000, 0.500), Pb at (0.000, 0.000, 0.000) and W at (0.500, 0.500, 0.500).


(12)
The following is a DFT calculation (PBE) of TcPb2W after structural relaxation.

As for the volume: 23.2 Å³/atom. For the total energy, the calculation gives -6.934 eV per atom. The formation energy is 0.7503 eV/atom.

The space group is Imm2 (No. 44) and the conventional cell measures 3.239, 4.879 and 11.759 Å, with angles of 90.00, 90.00 and 90.00 degrees. Symmetry generates all atoms from Tc at (0.000, 0.000, 0.000), Pb at (0.000, 0.000, 0.562), Pb at (0.000, 0.500, 0.777) and W at (0.000, 0.500, 0.350).


(13)
The following is a DFT calculation (PBE) of TcPb2W after structural relaxation.

As for the volume: 20.3 Å³/atom. For the total energy, the calculation gives -6.558 eV per atom. The formation energy is 1.1263 eV/atom.

The space group is Pmmm (No. 47) and the conventional cell measures 3.311, 4.586 and 5.355 Å, with angles of 90.00, 90.00 and 90.00 degrees. Symmetry generates all atoms from Tc at (0.000, 0.000, 0.000), Pb at (0.000, 0.500, 0.500), Pb at (0.500, 0.500, 0.000) and W at (0.500, 0.000, 0.500).


(14)
The following is a DFT calculation (PBE) of TcPb4W after structural relaxation.

As for the volume: 27.9 Å³/atom. For the total energy, the calculation gives -4.711 eV per atom. The formation energy is 1.6473 eV/atom.

The space group is F-43m (No. 216) and the conventional cell measures 8.751, 8.751 and 8.751 Å, with angles of 90.00, 90.00 and 90.00 degrees. Symmetry generates all atoms from Tc at (0.000, 0.000, 0.000), Pb at (0.125, 0.125, 0.375) and W at (0.250, 0.250, 0.750).


(15)
The following is a DFT calculation (PBE) of TcPb2W after structural relaxation.

As for the volume: 22.5 Å³/atom. For the total energy, the calculation gives -7.350 eV per atom. The formation energy is 0.3342 eV/atom.

The space group is P4mm (No. 99) and the conventional cell measures 3.210, 3.210 and 8.737 Å, with angles of 90.00, 90.00 and 90.00 degrees. Symmetry generates all atoms from Tc at (0.000, 0.000, 0.000), Pb at (0.000, 0.000, 0.396), Pb at (0.500, 0.500, 0.759) and W at (0.500, 0.500, 0.147).


(16)
The following is a DFT calculation (PBE) of TcPb2W after structural relaxation.

As for the volume: 19.5 Å³/atom. For the total energy, the calculation gives -6.631 eV per atom. The formation energy is 1.0525 eV/atom.

The space group is P4/mmm (No. 123) and the conventional cell measures 4.811, 4.811 and 3.369 Å, with angles of 90.00, 90.00 and 90.00 degrees. Symmetry generates all atoms from Tc at (0.000, 0.000, 0.000), Pb at (0.000, 0.500, 0.500) and W at (0.500, 0.500, 0.000).


(17)
The following is a DFT calculation (PBE) of TcPb2W after structural relaxation.

As for the volume: 19.6 Å³/atom. For the total energy, the calculation gives -6.613 eV per atom. The formation energy is 1.0711 eV/atom.

The space group is Fm-3m (No. 225) and the conventional cell measures 6.797, 6.797 and 6.797 Å, with angles of 90.00, 90.00 and 90.00 degrees. Symmetry generates all atoms from Tc at (0.000, 0.000, 0.000), Pb at (0.250, 0.250, 0.250) and W at (0.000, 0.000, 0.500).


(18)
The following is a DFT calculation (PBE) of TcPb2W after structural relaxation.

As for the volume: 20.3 Å³/atom. For the total energy, the calculation gives -6.570 eV per atom. The formation energy is 1.1144 eV/atom.

The space group is Immm (No. 71) and the conventional cell measures 3.277, 5.365 and 9.246 Å, with angles of 90.00, 90.00 and 90.00 degrees. Symmetry generates all atoms from Tc at (0.000, 0.000, 0.000), Pb at (0.000, 0.500, 0.257) and W at (0.000, 0.000, 0.500).


(19)
The following is a DFT calculation (PBE) of Tc3PbW after structural relaxation.

As for the volume: 21.8 Å³/atom. For the total energy, the calculation gives -7.996 eV per atom. The formation energy is 1.5563 eV/atom.

The space group is Pm-3m (No. 221) and the conventional cell measures 4.777, 4.777 and 4.777 Å, with angles of 90.00, 90.00 and 90.00 degrees. Symmetry generates all atoms from Tc at (0.000, 0.000, 0.500), Pb at (0.500, 0.500, 0.500) and W at (0.000, 0.000, 0.000).


(20)
The following is a DFT calculation (PBE) of YTcPb2W after structural relaxation.

As for the volume: 26.8 Å³/atom. For the total energy, the calculation gives -6.525 eV per atom. The formation energy is 0.9154 eV/atom.

The space group is P4/mmm (No. 123) and the conventional cell measures 5.248, 5.248 and 4.858 Å, with angles of 90.00, 90.00 and 90.00 degrees. Symmetry generates all atoms from Y at (0.000, 0.000, 0.000), Tc at (0.500, 0.500, 0.500), Pb at (0.000, 0.500, 0.500) and W at (0.500, 0.500, 0.000).